Computed, not measured: La2NpCuTe5 after structural relaxation at the PBE level of DFT.

Geometry as CIF:
```
data_La2NpCuTe5
_chemical_formula_sum 'La4 Np2 Cu2 Te10'
_cell_length_a 9.847
_cell_length_b 9.847
_cell_length_c 13.123
_cell_angle_alpha 90.00
_cell_angle_beta 90.00
_cell_angle_gamma 154.20
_space_group_name_H-M_alt 'P 1'
_space_group_IT_number 1
_space_group_name_Hall 'P 1'
loop_
_atom_site_label
_atom_site_type_symbol
_atom_site_fract_x
_atom_site_fract_y
_atom_site_fract_z
_atom_site_occupancy
La1 La 0.110 0.890 0.500 1
La2 La 0.123 0.877 0.123 1
La3 La 0.877 0.123 0.623 1
La4 La 0.890 0.110 0.000 1
Np1 Np 0.195 0.805 0.824 1
Np2 Np 0.805 0.195 0.324 1
Cu1 Cu 0.429 0.571 0.268 1
Cu2 Cu 0.571 0.429 0.768 1
Te1 Te 0.043 0.957 0.871 1
Te2 Te 0.291 0.709 0.487 1
Te3 Te 0.312 0.688 0.158 1
Te4 Te 0.359 0.641 0.815 1
Te5 Te 0.500 0.500 0.096 1
Te6 Te 0.500 0.500 0.596 1
Te7 Te 0.641 0.359 0.315 1
Te8 Te 0.688 0.312 0.658 1
Te9 Te 0.709 0.291 0.987 1
Te10 Te 0.957 0.043 0.371 1
```

Summary:
Uncorrected formation energy = -9.7 eV/f.u.
Size of the total moment = 8.0 Bohr magnetons per cell
D(E_F) = 9.3 states/eV/f.u.
Total DFT energy (no corrections) = -52.30 eV per formula unit